Entry 1:
The following is a PBE-GGA calculation of crystalline Mg2CrHgP at its relaxed geometry, from the Alexandria database.

a b c (Å): 4.838 4.838 5.248
angles (deg): 90.00 90.00 90.00
Space group P4/mmm (No. 123)
Asymmetric unit:
1 Mg 0.000 0.500 0.000 [2 per cell]
2 Cr 0.000 0.000 0.500 [1 per cell]
3 Hg 0.500 0.500 0.500 [1 per cell]
4 P 0.500 0.500 0.000 [1 per cell]

Values from the calculation:
ΔH_f (0 K), eV/atom: 0.462

***

Entry 2:
The following is a PBE-GGA calculation of crystalline NpV2N4 at its relaxed geometry, from the Alexandria database.

a b c (Å): 3.027 9.681 9.777
angles (deg): 90.00 90.00 90.00
Space group Cmcm (No. 63)
Asymmetric unit:
1 Np 0.000 0.115 0.250 [4 per cell]
2 V 0.000 0.376 0.061 [8 per cell]
3 N 0.000 0.000 0.000 [4 per cell]
4 N 0.000 0.266 0.613 [8 per cell]
5 N 0.000 0.433 0.250 [4 per cell]

Values from the calculation:
Energy, eV per cell: -285.10

***

Entry 3:
The following is a PBE-GGA calculation of crystalline Tb2GdRh at its relaxed geometry, from the Alexandria database.

a b c (Å): 3.518 3.518 8.665
angles (deg): 90.00 90.00 90.00
Space group P4/mmm (No. 123)
Asymmetric unit:
1 Tb 0.000 0.000 0.188 [2 per cell]
2 Gd 0.500 0.500 0.500 [1 per cell]
3 Rh 0.500 0.500 0.000 [1 per cell]

Values from the calculation:
Energy relative to the lowest polymorph listed for this composition, meV/atom: 0.0
ΔH_f (0 K), eV/atom: -0.389

***

Entry 4:
The following is a PBE-GGA calculation of crystalline HoPu2Th3S6 at its relaxed geometry, from the Alexandria database.

a b c (Å): 6.835 11.825 7.013
angles (deg): 90.00 108.91 90.00
Space group C2/m (No. 12)
Asymmetric unit:
1 Ho 0.000 0.000 0.000 [2 per cell]
2 Pu 0.000 0.333 0.000 [4 per cell]
3 Th 0.000 0.167 0.500 [4 per cell]
4 Th 0.000 0.500 0.500 [2 per cell]
5 S 0.244 0.165 0.236 [8 per cell]
6 S 0.248 0.500 0.237 [4 per cell]

Values from the calculation:
Energy, eV per cell: -204.94

***

Entry 5:
The following is a PBE-GGA calculation of crystalline SrTiSiO5 at its relaxed geometry, from the Alexandria database.

a b c (Å): 6.784 8.993 7.206
angles (deg): 90.00 113.92 90.00
Space group C2/c (No. 15)
Asymmetric unit:
1 Sr 0.000 0.170 0.250 [4 per cell]
2 Ti 0.000 0.500 0.000 [4 per cell]
3 Si 0.000 0.185 0.750 [4 per cell]
4 O 0.000 0.440 0.250 [4 per cell]
5 O 0.091 0.290 0.612 [8 per cell]
6 O 0.190 0.072 0.902 [8 per cell]

Values from the calculation:
Energy, eV per cell: -255.93

***

Entry 6:
The following is a PBE-GGA calculation of crystalline RbP2Rh2 at its relaxed geometry, from the Alexandria database.

a b c (Å): 4.222 4.222 12.308
angles (deg): 90.00 90.00 90.00
Space group I4/mmm (No. 139)
Asymmetric unit:
1 Rb 0.000 0.000 0.000 [2 per cell]
2 P 0.000 0.500 0.250 [4 per cell]
3 Rh 0.000 0.000 0.332 [4 per cell]

Values from the calculation:
ΔH_f (0 K), eV/atom: -0.301

***

Entry 7:
The following is a PBE-GGA calculation of crystalline Hf3BiAu at its relaxed geometry, from the Alexandria database.

a b c (Å): 5.290 5.290 5.290
angles (deg): 90.00 90.00 90.00
Space group Pm-3m (No. 221)
Asymmetric unit:
1 Hf 0.000 0.000 0.500 [3 per cell]
2 Bi 0.000 0.000 0.000 [1 per cell]
3 Au 0.500 0.500 0.500 [1 per cell]

Values from the calculation:
Energy relative to the lowest polymorph listed for this composition, meV/atom: 923.6
ΔH_f (0 K), eV/atom: 1.376

***

Entry 8:
The following is a PBE-GGA calculation of crystalline Al2ZnCrB at its relaxed geometry, from the Alexandria database.

a b c (Å): 4.114 4.114 4.037
angles (deg): 90.00 90.00 90.00
Space group P4/mmm (No. 123)
Asymmetric unit:
1 Al 0.000 0.500 0.000 [2 per cell]
2 Zn 0.000 0.000 0.500 [1 per cell]
3 Cr 0.500 0.500 0.500 [1 per cell]
4 B 0.500 0.500 0.000 [1 per cell]

Values from the calculation:
ΔH_f (0 K), eV/atom: 0.188

***

Entry 9:
The following is a PBE-GGA calculation of crystalline Pr8Co2Sb at its relaxed geometry, from the Alexandria database.

a b c (Å): 8.739 13.845 5.597
angles (deg): 90.00 103.71 90.00
Space group C2/m (No. 12)
Asymmetric unit:
1 Pr 0.000 0.248 0.000 [4 per cell]
2 Pr 0.105 0.500 0.804 [4 per cell]
3 Pr 0.204 0.127 0.562 [8 per cell]
4 Co 0.000 0.291 0.500 [4 per cell]
5 Sb 0.000 0.000 0.000 [2 per cell]

Values from the calculation:
Energy, eV per cell: -116.09

***

Entry 10:
The following is a PBE-GGA calculation of crystalline MgInRe2 at its relaxed geometry, from the Alexandria database.

a b c (Å): 7.547 7.547 5.300
angles (deg): 90.00 90.00 90.00
Space group I-42d (No. 122)
Asymmetric unit:
1 Mg 0.000 0.000 0.000 [4 per cell]
2 In 0.000 0.000 0.500 [4 per cell]
3 Re 0.241 0.250 0.625 [8 per cell]

Values from the calculation:
Energy relative to the lowest polymorph listed for this composition, meV/atom: 1073.6
ΔH_f (0 K), eV/atom: 1.217

***

Entry 11:
The following is a PBE-GGA calculation of crystalline Re2OsAu at its relaxed geometry, from the Alexandria database.

a b c (Å): 2.771 2.771 8.035
angles (deg): 90.00 90.00 90.00
Space group P4/mmm (No. 123)
Asymmetric unit:
1 Re 0.000 0.000 0.234 [2 per cell]
2 Os 0.500 0.500 0.000 [1 per cell]
3 Au 0.500 0.500 0.500 [1 per cell]

Values from the calculation:
Energy relative to the lowest polymorph listed for this composition, meV/atom: 63.8
ΔH_f (0 K), eV/atom: 0.315

***

Entry 12:
The following is a PBE-GGA calculation of crystalline Te4AsRu at its relaxed geometry, from the Alexandria database.

a b c (Å): 8.725 8.725 8.725
angles (deg): 90.00 90.00 90.00
Space group F-43m (No. 216)
Asymmetric unit:
1 Te 0.125 0.125 0.125 [16 per cell]
2 As 0.250 0.250 0.750 [4 per cell]
3 Ru 0.000 0.000 0.500 [4 per cell]

Values from the calculation:
Energy, eV per cell: -76.93